(i)
Here is crystalline TaMnH4 at its relaxed geometry from Alexandria. Energies are from GGA-PBE.

a = 4.099 Å, b = 4.098 Å, c = 5.521 Å
α = 90.00°, β = 90.00°, γ = 90.00°
Last column: magnetic moment on the atom in μB.
Positions (direct):
Ta 0.000 0.000 0.500  0.17
Ta 0.500 0.500 0.500  0.17
Mn 0.500 0.500 0.000  3.25
Mn 0.000 0.000 0.000  3.25
H 0.250 0.750 0.754  -0.01
H 0.750 0.750 0.754  -0.01
H 0.750 0.250 0.754  -0.01
H 0.750 0.750 0.246  -0.01
H 0.250 0.250 0.754  -0.01
H 0.250 0.750 0.246  -0.01
H 0.250 0.250 0.246  -0.01
H 0.750 0.250 0.246  -0.01

Computed properties:
Total magnetic moment   3.6 μB per formula unit

---

(ii)
Here is crystalline TaMnH4 at its relaxed geometry from Alexandria. Energies are from GGA-PBE.

a = 4.287 Å, b = 4.287 Å, c = 5.299 Å
α = 113.82°, β = 113.83°, γ = 90.06°
Last column: magnetic moment on the atom in μB.
Positions (direct):
Ta 0.250 0.750 0.000  -0.05
Ta 0.750 0.250 0.000  -0.05
Mn 0.500 0.500 0.500  1.53
Mn 0.000 0.000 0.500  1.53
H 0.144 0.144 0.287  -0.01
H 0.144 0.644 0.288  -0.01
H 0.644 0.144 0.288  -0.01
H 0.644 0.644 0.287  -0.01
H 0.356 0.856 0.712  -0.01
H 0.356 0.356 0.713  -0.01
H 0.856 0.856 0.713  -0.01
H 0.856 0.356 0.712  -0.01

Computed properties:
Total magnetic moment   1.4 μB per formula unit

---

Stability, highest: (ii)

---

(i)
Here is crystalline TaMn2H at its relaxed geometry from Alexandria. Energies are from GGA-PBE.

a = 4.981 Å, b = 4.981 Å, c = 4.978 Å
α = 59.98°, β = 59.98°, γ = 90.00°
Positions (direct):
H 0.500 0.500 0.000
H 0.250 0.750 0.500
Mn 0.375 0.125 0.250
Mn 0.375 0.625 0.250
Mn 0.375 0.625 0.750
Mn 0.875 0.625 0.750
Ta 0.000 0.000 0.000
Ta 0.750 0.250 0.500

Computed properties:
Total magnetic moment   0.1 μB per formula unit

---

(ii)
Here is crystalline TaMn2H at its relaxed geometry from Alexandria. Energies are from GGA-PBE.

a = 4.115 Å, b = 4.115 Å, c = 4.115 Å
α = 60.00°, β = 60.00°, γ = 60.00°
Last column: magnetic moment on the atom in μB.
Positions (direct):
H 0.000 0.000 0.000  0.00
Mn 0.250 0.250 0.250  2.12
Mn 0.750 0.750 0.750  2.12
Ta 0.500 0.500 0.500  -0.55

Computed properties:
Total magnetic moment   3.8 μB per formula unit

---

Stability, highest: (i)

---

(i)
Here is crystalline TaMn2HW at its relaxed geometry from Alexandria. Energies are from GGA-PBE.

a = 3.810 Å, b = 3.810 Å, c = 4.155 Å
α = 90.00°, β = 90.00°, γ = 90.00°
Last column: magnetic moment on the atom in μB.
Positions (direct):
H 0.000 0.000 0.000  -0.01
Mn 0.000 0.500 0.000  1.98
Mn 0.500 0.000 0.000  1.98
W 0.000 0.000 0.500  -0.12
Ta 0.500 0.500 0.500  -0.13

Computed properties:
Total magnetic moment   3.8 μB per formula unit

---

(ii)
Here is crystalline TaMn2HW at its relaxed geometry from Alexandria. Energies are from GGA-PBE.

a = 3.792 Å, b = 3.792 Å, c = 4.197 Å
α = 90.00°, β = 90.00°, γ = 90.00°
Last column: magnetic moment on the atom in μB.
Positions (direct):
H 0.000 0.000 0.000  -0.01
Mn 0.000 0.500 0.000  2.00
Mn 0.500 0.000 0.000  2.00
W 0.500 0.500 0.500  -0.20
Ta 0.000 0.000 0.500  -0.11

Computed properties:
Total magnetic moment   3.7 μB per formula unit

---

Stability, highest: (ii)

---

(i)
Here is crystalline MnTc2H at its relaxed geometry from Alexandria. Energies are from GGA-PBE.

a = 6.447 Å, b = 6.447 Å, c = 5.057 Å
α = 50.40°, β = 50.40°, γ = 90.00°
Last column: magnetic moment on the atom in μB.
Positions (direct):
H 0.500 0.500 0.000  0.00
H 0.250 0.750 0.500  0.00
Mn 0.000 0.000 0.000  2.15
Mn 0.750 0.250 0.500  2.16
Tc 0.522 0.125 0.250  -0.34
Tc 0.228 0.625 0.250  -0.35
Tc 0.375 0.478 0.750  -0.35
Tc 0.875 0.772 0.750  -0.35

Computed properties:
Total magnetic moment   1.5 μB per formula unit

---

(ii)
Here is crystalline MnTc2H at its relaxed geometry from Alexandria. Energies are from GGA-PBE.

a = 4.014 Å, b = 4.014 Å, c = 4.014 Å
α = 60.00°, β = 60.00°, γ = 60.00°
Positions (direct):
H 0.000 0.000 0.000
Mn 0.500 0.500 0.500
Tc 0.250 0.250 0.250
Tc 0.750 0.750 0.750

Computed properties:
Total magnetic moment   0.0 μB per formula unit

---

Stability, highest: (i)

---

(i)
Here is crystalline MnTc2H at its relaxed geometry from Alexandria. Energies are from GGA-PBE.

a = 2.742 Å, b = 2.742 Å, c = 7.094 Å
α = 78.86°, β = 78.86°, γ = 60.00°
Positions (direct):
H 0.500 0.500 0.500
Mn 0.000 0.000 0.000
Tc 0.109 0.109 0.672
Tc 0.891 0.891 0.328

Computed properties:
Total magnetic moment   0.0 μB per formula unit

---

(ii)
Here is crystalline MnTc2H at its relaxed geometry from Alexandria. Energies are from GGA-PBE.

a = 2.719 Å, b = 2.719 Å, c = 5.883 Å
α = 90.00°, β = 90.00°, γ = 90.00°
Positions (direct):
H 0.500 0.500 0.000
Mn 0.500 0.500 0.500
Tc 0.000 0.000 0.787
Tc 0.000 0.000 0.213

Computed properties:
Total magnetic moment   0.0 μB per formula unit

---

Stability, highest: (ii)

---

(i)
Here is crystalline Mn2TcH2 at its relaxed geometry from Alexandria. Energies are from GGA-PBE.

a = 5.647 Å, b = 5.647 Å, c = 2.675 Å
α = 90.00°, β = 90.00°, γ = 90.00°
Positions (direct):
H 0.291 0.791 0.000
H 0.791 0.709 0.000
H 0.709 0.209 0.000
H 0.209 0.291 0.000
Mn 0.127 0.627 0.500
Mn 0.627 0.873 0.500
Mn 0.873 0.373 0.500
Mn 0.373 0.127 0.500
Tc 0.000 0.000 0.000
Tc 0.500 0.500 0.000

Computed properties:
Total magnetic moment   0.0 μB per formula unit

---

(ii)
Here is crystalline Mn2TcH2 at its relaxed geometry from Alexandria. Energies are from GGA-PBE.

a = 2.717 Å, b = 2.717 Å, c = 6.117 Å
α = 77.17°, β = 77.17°, γ = 90.00°
Last column: magnetic moment on the atom in μB.
Positions (direct):
H 0.750 0.250 0.500  -0.02
H 0.250 0.750 0.500  -0.02
Mn 0.347 0.347 0.306  1.75
Mn 0.653 0.653 0.694  1.75
Tc 0.000 0.000 0.000  -0.57

Computed properties:
Total magnetic moment   2.9 μB per formula unit

---

Stability, highest: (ii)

---

(i)
Here is crystalline MnTc2H2 at its relaxed geometry from Alexandria. Energies are from GGA-PBE.

a = 5.711 Å, b = 5.711 Å, c = 2.788 Å
α = 90.00°, β = 90.00°, γ = 90.00°
Positions (direct):
H 0.318 0.818 0.000
H 0.818 0.682 0.000
H 0.682 0.182 0.000
H 0.182 0.318 0.000
Mn 0.000 0.000 0.000
Mn 0.500 0.500 0.000
Tc 0.147 0.647 0.500
Tc 0.647 0.853 0.500
Tc 0.853 0.353 0.500
Tc 0.353 0.147 0.500

Computed properties:
Total magnetic moment   0.0 μB per formula unit

---

(ii)
Here is crystalline MnTc2H2 at its relaxed geometry from Alexandria. Energies are from GGA-PBE.

a = 2.845 Å, b = 2.845 Å, c = 5.996 Å
α = 76.28°, β = 76.28°, γ = 90.00°
Last column: magnetic moment on the atom in μB.
Positions (direct):
H 0.750 0.250 0.500  0.00
H 0.250 0.750 0.500  0.00
Mn 0.000 0.000 0.000  0.29
Tc 0.359 0.359 0.281  -0.02
Tc 0.641 0.641 0.719  -0.02

Computed properties:
Total magnetic moment   0.3 μB per formula unit

---

Stability, highest: (ii)

---

(i)
Here is crystalline Mn2Tc2H at its relaxed geometry from Alexandria. Energies are from GGA-PBE.

a = 3.003 Å, b = 3.003 Å, c = 7.045 Å
α = 77.69°, β = 77.69°, γ = 90.00°
Positions (direct):
H 0.000 0.000 0.000
Mn 0.750 0.250 0.500
Mn 0.250 0.750 0.500
Tc 0.409 0.409 0.182
Tc 0.591 0.591 0.818

Computed properties:
Total magnetic moment   0.0 μB per formula unit

---

(ii)
Here is crystalline Mn2Tc2H at its relaxed geometry from Alexandria. Energies are from GGA-PBE.

a = 6.781 Å, b = 6.781 Å, c = 2.785 Å
α = 90.00°, β = 90.00°, γ = 90.00°
Last column: magnetic moment on the atom in μB.
Positions (direct):
H 0.000 0.000 0.000  0.01
H 0.500 0.500 0.000  0.01
Mn 0.129 0.629 0.500  0.42
Mn 0.629 0.871 0.500  0.39
Mn 0.871 0.371 0.500  0.42
Mn 0.371 0.129 0.500  0.39
Tc 0.330 0.830 0.000  -0.16
Tc 0.830 0.670 0.000  -0.16
Tc 0.670 0.170 0.000  -0.16
Tc 0.170 0.330 0.000  -0.16

Computed properties:
Total magnetic moment   0.5 μB per formula unit

---

Stability, highest: (ii)

---

(i)
Here is crystalline MnTcH2 at its relaxed geometry from Alexandria. Energies are from GGA-PBE.

a = 3.977 Å, b = 3.977 Å, c = 4.881 Å
α = 65.96°, β = 65.96°, γ = 90.00°
Positions (direct):
H 0.592 0.125 0.250
H 0.158 0.625 0.250
H 0.375 0.408 0.750
H 0.875 0.842 0.750
Mn 0.500 0.500 0.000
Mn 0.250 0.750 0.500
Tc 0.000 0.000 0.000
Tc 0.750 0.250 0.500

Computed properties:
Total magnetic moment   0.0 μB per formula unit

---

(ii)
Here is crystalline MnTcH2 at its relaxed geometry from Alexandria. Energies are from GGA-PBE.

a = 2.743 Å, b = 2.743 Å, c = 5.036 Å
α = 74.19°, β = 74.19°, γ = 60.00°
Last column: magnetic moment on the atom in μB.
Positions (direct):
Mn 0.675 0.675 0.976  1.66
Tc 0.491 0.491 0.527  -0.30
H 0.067 0.067 0.800  -0.01
H 0.268 0.268 0.197  -0.02

Computed properties:
Total magnetic moment   1.4 μB per formula unit

---

(iii)
Here is crystalline MnTcH2 at its relaxed geometry from Alexandria. Energies are from GGA-PBE.

a = 2.798 Å, b = 2.798 Å, c = 5.011 Å
α = 73.79°, β = 73.79°, γ = 60.00°
Last column: magnetic moment on the atom in μB.
Positions (direct):
H 0.125 0.125 0.624  -0.02
H 0.875 0.875 0.376  -0.02
Mn 0.500 0.500 0.500  2.03
Tc 0.000 0.000 0.000  -0.37

Computed properties:
Total magnetic moment   1.6 μB per formula unit

---

Stability, highest: (iii)

---

(i)
Here is crystalline MnTc3H at its relaxed geometry from Alexandria. Energies are from GGA-PBE.

a = 4.413 Å, b = 4.413 Å, c = 4.413 Å
α = 90.00°, β = 90.00°, γ = 90.00°
Last column: magnetic moment on the atom in μB.
Positions (direct):
H 0.500 0.500 0.500  -0.07
Mn 0.000 0.000 0.000  -0.17
Tc 0.000 0.500 0.000  0.78
Tc 0.000 0.000 0.500  0.70
Tc 0.500 0.000 0.000  0.71

Computed properties:
Total magnetic moment   2.1 μB per formula unit

---

(ii)
Here is crystalline MnTc3H at its relaxed geometry from Alexandria. Energies are from GGA-PBE.

a = 3.856 Å, b = 3.856 Å, c = 3.856 Å
α = 90.00°, β = 90.00°, γ = 90.00°
Positions (direct):
H 0.000 0.000 0.000
Mn 0.500 0.500 0.500
Tc 0.000 0.500 0.000
Tc 0.000 0.000 0.500
Tc 0.500 0.000 0.000

Computed properties:
Total magnetic moment   0.0 μB per formula unit

---

Stability, highest: (ii)

---

(i)
Here is crystalline MnV2TcH at its relaxed geometry from Alexandria. Energies are from GGA-PBE.

a = 4.127 Å, b = 4.127 Å, c = 3.210 Å
α = 90.00°, β = 90.00°, γ = 90.00°
Last column: magnetic moment on the atom in μB.
Positions (direct):
H 0.000 0.000 0.000  0.00
Mn 0.000 0.000 0.500  1.41
Tc 0.500 0.500 0.500  0.13
V 0.000 0.500 0.000  -0.29
V 0.500 0.000 0.000  -0.29

Computed properties:
Total magnetic moment   0.9 μB per formula unit

---

(ii)
Here is crystalline MnV2TcH at its relaxed geometry from Alexandria. Energies are from GGA-PBE.

a = 4.064 Å, b = 3.368 Å, c = 4.064 Å
α = 90.00°, β = 90.00°, γ = 90.00°
Positions (direct):
H 0.000 0.000 0.000
Mn 0.500 0.500 0.500
Tc 0.000 0.500 0.000
V 0.000 0.000 0.500
V 0.500 0.000 0.000

Computed properties:
Total magnetic moment   0.0 μB per formula unit

---

Stability, highest: (i)

---

(i)
Here is crystalline Mn2TcHW at its relaxed geometry from Alexandria. Energies are from GGA-PBE.

a = 3.752 Å, b = 3.752 Å, c = 3.950 Å
α = 90.00°, β = 90.00°, γ = 90.00°
Last column: magnetic moment on the atom in μB.
Positions (direct):
H 0.000 0.000 0.000  -0.01
Mn 0.000 0.500 0.000  1.45
Mn 0.500 0.000 0.000  1.45
Tc 0.500 0.500 0.500  -0.17
W 0.000 0.000 0.500  -0.21

Computed properties:
Total magnetic moment   2.6 μB per formula unit

---

(ii)
Here is crystalline Mn2TcHW at its relaxed geometry from Alexandria. Energies are from GGA-PBE.

a = 3.769 Å, b = 3.769 Å, c = 3.911 Å
α = 90.00°, β = 90.00°, γ = 90.00°
Last column: magnetic moment on the atom in μB.
Positions (direct):
H 0.000 0.000 0.000  -0.01
Mn 0.000 0.500 0.000  1.57
Mn 0.500 0.000 0.000  1.57
Tc 0.000 0.000 0.500  0.02
W 0.500 0.500 0.500  -0.30

Computed properties:
Total magnetic moment   2.9 μB per formula unit

---

Stability, highest: (ii)

---

(i)
Here is crystalline Zr2MnTcH at its relaxed geometry from Alexandria. Energies are from GGA-PBE.

a = 4.604 Å, b = 4.604 Å, c = 3.364 Å
α = 90.00°, β = 90.00°, γ = 90.00°
Last column: magnetic moment on the atom in μB.
Positions (direct):
H 0.000 0.000 0.000  0.00
Mn 0.000 0.000 0.500  1.26
Tc 0.500 0.500 0.500  0.14
Zr 0.000 0.500 0.000  -0.14
Zr 0.500 0.000 0.000  -0.14

Computed properties:
Total magnetic moment   1.1 μB per formula unit

---

(ii)
Here is crystalline Zr2MnTcH at its relaxed geometry from Alexandria. Energies are from GGA-PBE.

a = 4.632 Å, b = 4.632 Å, c = 3.411 Å
α = 90.00°, β = 90.00°, γ = 90.00°
Last column: magnetic moment on the atom in μB.
Positions (direct):
H 0.000 0.000 0.000  0.00
Mn 0.500 0.500 0.500  1.56
Tc 0.000 0.000 0.500  0.05
Zr 0.000 0.500 0.000  -0.25
Zr 0.500 0.000 0.000  -0.25

Computed properties:
Total magnetic moment   0.9 μB per formula unit

---

Stability, highest: (i)